No. 1
The following is a DFT calculation (PBE) of a geometry-optimized NaCoTe2 structure.

Properties
DFT total energy   -3.925 eV per atom
ΔE_f (raw)   -0.248 eV/atom
Crystal system   trigonal

a = 8.960 Å, b = 8.960 Å, c = 8.960 Å
α = 24.86°, β = 24.86°, γ = 24.86°
Fractional positions:
1 Te 0.117 0.117 0.117
2 Na 0.000 0.000 0.000
3 Te 0.883 0.883 0.883
4 Co 0.500 0.500 0.500

No. 2
The following is a DFT calculation (PBE) of a geometry-optimized NdTlPt structure.

Properties
DFT total energy   -4.957 eV per atom
Crystal system   tetragonal
Energy relative to the elements   -566 meV per atom

a = 3.839 Å, b = 3.839 Å, c = 5.688 Å
α = 109.72°, β = 109.72°, γ = 90.00°
Fractional positions:
1 Tl 0.942 0.942 0.884
2 Pt 0.275 0.275 0.549
3 Nd 0.633 0.633 0.267

No. 3
The following is a DFT calculation (PBE) of a geometry-optimized Zr3GaSe structure.

Properties
DFT total energy   -6.447 eV per atom
ΔE_f (raw)   -0.016 eV/atom
ΔE to the lowest computed polymorph   0.000 eV/atom
Crystal system   cubic

a = 4.969 Å, b = 4.969 Å, c = 4.969 Å
α = 90.00°, β = 90.00°, γ = 90.00°
Fractional positions:
1 Zr 0.500 0.000 0.000
2 Ga 0.500 0.500 0.500
3 Se 0.000 0.000 0.000
4 Zr 0.000 0.000 0.500
5 Zr 0.000 0.500 0.000